(1)
Computed, not measured: YSbNF2 after structural relaxation at the PBE level of DFT.

It has space group P4/mmm (No. 123), with a = 4.479 Å, b = 4.479 Å, c = 4.371 Å, α = 90.00°, β = 90.00° and γ = 90.00°. The asymmetric unit holds Y at (0.000, 0.000, 0.000), Sb at (0.500, 0.500, 0.500), N at (0.500, 0.500, 0.000) and F at (0.000, 0.500, 0.500).

The calculation puts the magnetic moment at 0.7 μB per formula unit. The value obtained for the offset from the most stable computed form is 696 meV/atom. Its raw formation energy is -20.1 kcal/mol of atoms.



(2)
Computed, not measured: NaBRuO4 after structural relaxation at the PBE level of DFT.

It has space group Cmcm (No. 63), with a = 5.906 Å, b = 8.880 Å, c = 6.115 Å, α = 90.00°, β = 90.00° and γ = 90.00°. The asymmetric unit holds Na at (0.000, 0.000, 0.000), B at (0.000, 0.376, 0.250), Ru at (0.000, 0.339, 0.750), O at (0.000, 0.281, 0.054) and O at (0.195, 0.485, 0.250).

The calculation puts the magnetic moment at 2.0 μB per formula unit. Its raw formation energy is -32.1 kcal/mol of atoms.



(3)
Computed, not measured: Hg4SeIBr2 after structural relaxation at the PBE level of DFT.

It has space group Pmn2_1 (No. 31), with a = 9.093 Å, b = 8.622 Å, c = 7.749 Å, α = 90.00°, β = 90.00° and γ = 90.00°. The asymmetric unit holds Hg at (0.000, 0.044, 0.000), Hg at (0.000, 0.925, 0.459), Hg at (0.163, 0.543, 0.937), Se at (0.000, 0.790, 0.168), I at (0.000, 0.187, 0.671) and Br at (0.242, 0.226, 0.138).

The calculation puts the magnetic moment at 0.0 μB per formula unit. Its raw formation energy is -3.5 kcal/mol of atoms.



(4)
Computed, not measured: Al2Sb after structural relaxation at the PBE level of DFT.

It has space group I4/mmm (No. 139), with a = 3.290 Å, b = 3.290 Å, c = 11.499 Å, α = 90.00°, β = 90.00° and γ = 90.00°. The asymmetric unit holds Al at (0.000, 0.000, 0.180) and Sb at (0.000, 0.000, 0.500).

The calculation puts the magnetic moment at 0.0 μB per formula unit. Its raw formation energy is 4.3 kcal/mol of atoms.



(5)
Computed, not measured: NpVTcIr after structural relaxation at the PBE level of DFT.

It has space group F-43m (No. 216), with a = 6.428 Å, b = 6.428 Å, c = 6.428 Å, α = 90.00°, β = 90.00° and γ = 90.00°. The asymmetric unit holds Np at (0.000, 0.000, 0.000), V at (0.000, 0.000, 0.500), Tc at (0.250, 0.250, 0.250) and Ir at (0.250, 0.250, 0.750).

The calculation puts the magnetic moment at 2.8 μB per formula unit. As for the energy of formation from the pure elements: -9 kJ/mol of formula units.



(6)
Computed, not measured: PuMnInAg after structural relaxation at the PBE level of DFT.

It has space group F-43m (No. 216), with a = 7.039 Å, b = 7.039 Å, c = 7.039 Å, α = 90.00°, β = 90.00° and γ = 90.00°. The asymmetric unit holds Pu at (0.000, 0.000, 0.000), Mn at (0.250, 0.250, 0.750), In at (0.000, 0.000, 0.500) and Ag at (0.250, 0.250, 0.250).

The calculation puts the magnetic moment at 9.9 μB per formula unit. As for the energy of formation from the pure elements: 100 kJ/mol of formula units.



(7)
Computed, not measured: KAcSnO4 after structural relaxation at the PBE level of DFT.

It has space group I4mm (No. 107), with a = 4.140 Å, b = 4.140 Å, c = 12.990 Å, α = 90.00°, β = 90.00° and γ = 90.00°. The asymmetric unit holds K at (0.000, 0.000, 0.000), Ac at (0.000, 0.000, 0.705), Sn at (0.000, 0.000, 0.362), O at (0.000, 0.000, 0.197), O at (0.000, 0.000, 0.519) and O at (0.000, 0.500, 0.339).

The calculation puts the magnetic moment at 0.0 μB per formula unit. Its raw formation energy is -52.0 kcal/mol of atoms.



Question: What is the formula in the seventh record?
Answer: KAcSnO4